A plane-wave DFT calculation with PBE-GGA was carried out for a relaxed structure of Ca2SiTeI.

The space group is P4/mmm (No. 123) and the conventional cell measures 5.8007, 5.8007 and 5.9571 Å, with angles of 90.00, 90.00 and 90.00 degrees. Symmetry generates all atoms from Ca at (0.0000, 0.5000, 0.0000), Si at (0.0000, 0.0000, 0.5000), Te at (0.5000, 0.5000, 0.5000) and I at (0.5000, 0.5000, 0.0000).

The value obtained for the volume is 40.090 Å³ per atom. Its crystal system is tetragonal. The value obtained for the total magnetization is 0.000 Bohr magnetons per cell. The value obtained for the uncorrected formation energy is 356 meV/atom.